(1)
The following is a PBE calculation of a relaxed structure of Al2Rh, from the Alexandria database.

Structure (POSCAR):
```
Al2Rh
1.0
4.1221 -4.1124 0.0000
4.1221 4.1124 0.0000
-1.9615 0.0000 5.2056
Al Rh
8 4
Direct
0.0000 0.0000 0.0000
0.1930 0.1411 0.6402
0.5034 0.4966 0.0000
0.5133 0.0082 0.0369
0.6310 0.1353 0.6171
0.8589 0.8070 0.3598
0.8647 0.3690 0.3829
0.9918 0.4867 0.9631
0.1912 0.6970 0.7147
0.3030 0.8088 0.2853
0.3051 0.3246 0.3038
0.6754 0.6948 0.6962
```

Output
- Electronic total energy: -66.2 eV/cell
- Formation energy from the elements: -55.3 kJ/mol of atoms

***

(2)
The following is a PBE calculation of a relaxed structure of TeAs2BrN, from the Alexandria database.

Structure (POSCAR):
```
TeAs2BrN
1.0
5.4832 0.0000 0.0000
0.0000 5.4832 0.0000
0.0000 0.0000 5.8618
Te As Br N
1 2 1 1
Direct
0.0000 0.0000 0.0000
0.0000 0.5000 0.0000
0.5000 0.0000 0.0000
0.0000 0.0000 0.5000
0.5000 0.5000 0.5000
```

Output
- Energy above the most stable polymorph in this dataset: 0.784 eV/atom
- Electronic total energy: -14.0 eV/cell